Li4LaEu after structural relaxation. Source: the Alexandria database, functional PBE.

Properties
calculated volume	161.5	Å³/cell
E_tot	-22.387	eV/cell
space-group type	F-43m (216)
magnetic moment	8.29	μB/f.u.

Cell: 6.1130 6.1130 6.1130 Å, 60.00 60.00 60.00°
Sites, in units of the cell vectors:
Li1 0.1247 0.1247 0.1247
Li2 0.1247 0.1247 0.6259
Li3 0.1247 0.6259 0.1247
Li4 0.6259 0.1247 0.1247
La1 0.7500 0.7500 0.7500
Eu1 0.5000 0.5000 0.5000

***

Na6Cd23Pb after structural relaxation. Source: the Alexandria database, functional PBE.

Properties
calculated volume	717.5	Å³/cell
E_tot	-34.678	eV/cell
space-group type	Fm-3m (225)
magnetic moment	0.00	μB/f.u.

Cell: 10.0486 10.0486 10.0486 Å, 60.00 60.00 60.00°
Sites, in units of the cell vectors:
Na1 0.2362 0.2362 0.7638
Na2 0.2362 0.7638 0.2362
Na3 0.2362 0.7638 0.7638
Na4 0.7638 0.2362 0.2362
Na5 0.7638 0.2362 0.7638
Na6 0.7638 0.7638 0.2362
Cd1 0.0000 0.0000 0.5000
Cd2 0.0000 0.5000 0.0000
Cd3 0.0000 0.5000 0.5000
Cd4 0.1196 0.6268 0.6268
Cd5 0.1451 0.1451 0.1451
Cd6 0.1451 0.1451 0.5646
Cd7 0.1451 0.5646 0.1451
Cd8 0.3732 0.3732 0.3732
Cd9 0.3732 0.3732 0.8804
Cd10 0.3732 0.8804 0.3732
Cd11 0.4354 0.8549 0.8549
Cd12 0.5000 0.0000 0.0000
Cd13 0.5000 0.0000 0.5000
Cd14 0.5000 0.5000 0.0000
Cd15 0.5000 0.5000 0.5000
Cd16 0.5646 0.1451 0.1451
Cd17 0.6268 0.1196 0.6268
Cd18 0.6268 0.6268 0.1196
Cd19 0.6268 0.6268 0.6268
Cd20 0.8549 0.4354 0.8549
Cd21 0.8549 0.8549 0.4354
Cd22 0.8549 0.8549 0.8549
Cd23 0.8804 0.3732 0.3732
Pb1 0.0000 0.0000 0.0000

***

TbUBiO6 after structural relaxation. Source: the Alexandria database, functional PBE.

Properties
ΔE_f (raw)	-2694	meV/atom
calculated volume	283.4	Å³/cell
space-group type	P-31c (163)
magnetic moment	0.00	μB/f.u.

Cell: 5.8620 5.8620 9.5226 Å, 90.00 90.00 120.00°
Sites, in units of the cell vectors:
Tb1 0.3333 0.6667 0.2500
Tb2 0.6667 0.3333 0.7500
U1 0.3333 0.6667 0.7500
U2 0.6667 0.3333 0.2500
Bi1 0.0000 0.0000 0.0000
Bi2 0.0000 0.0000 0.5000
O1 0.0248 0.3626 0.6357
O2 0.0248 0.6622 0.8643
O3 0.3378 0.3626 0.8643
O4 0.3378 0.9752 0.6357
O5 0.3626 0.0248 0.1357
O6 0.3626 0.3378 0.3643
O7 0.6374 0.6622 0.6357
O8 0.6374 0.9752 0.8643
O9 0.6622 0.0248 0.3643
O10 0.6622 0.6374 0.1357
O11 0.9752 0.3378 0.1357
O12 0.9752 0.6374 0.3643

***

Ga2PtRh after structural relaxation. Source: the Alexandria database, functional PBE.

Properties
calculated volume	234.8	Å³/cell
E_tot	-87.328	eV/cell
space-group type	C2/m (12)
magnetic moment	0.00	μB/f.u.

Cell: 8.9964 5.7987 4.5729 Å, 90.00 100.22 90.00°
Sites, in units of the cell vectors:
Ga1 0.1199 0.2462 0.2434
Ga2 0.1199 0.7538 0.2434
Ga3 0.3801 0.2538 0.7566
Ga4 0.3801 0.7462 0.7566
Ga5 0.6199 0.2538 0.2434
Ga6 0.6199 0.7462 0.2434
Ga7 0.8801 0.2462 0.7566
Ga8 0.8801 0.7538 0.7566
Pt1 0.1309 0.5000 0.7352
Pt2 0.3691 0.0000 0.2648
Pt3 0.6309 0.0000 0.7352
Pt4 0.8691 0.5000 0.2648
Rh1 0.1294 0.0000 0.7481
Rh2 0.3706 0.5000 0.2519
Rh3 0.6294 0.5000 0.7481
Rh4 0.8706 0.0000 0.2519

***

Co2TcBr after structural relaxation. Source: the Alexandria database, functional PBE.

Properties
energy above the lowest structure with this stoichiometry	0.0000	eV per atom
ΔE_f (raw)	513	meV/atom
calculated volume	62.7	Å³/cell
space-group type	Pmmm (47)
magnetic moment	3.30	μB/f.u.

Cell: 2.9683 3.0404 6.9433 Å, 90.00 90.00 90.00°
Sites, in units of the cell vectors:
Co1 0.0000 0.0000 0.1987
Co2 0.0000 0.0000 0.8013
Tc1 0.5000 0.5000 0.0000
Br1 0.5000 0.0000 0.5000

***

BaCe2Ga6 after structural relaxation. Source: the Alexandria database, functional PBE.

Properties
energy above the lowest structure with this stoichiometry	0.0648	eV per atom
calculated volume	232.0	Å³/cell
space-group type	Immm (71)
magnetic moment	0.93	μB/f.u.

Cell: 7.7273 7.7273 7.7273 Å, 146.03 113.29 77.01°
Sites, in units of the cell vectors:
Ba1 0.0000 0.0000 0.0000
Ce1 0.3843 0.8843 0.5000
Ce2 0.6157 0.1157 0.5000
Ga1 0.0354 0.3046 0.7308
Ga2 0.3303 0.5000 0.8303
Ga3 0.4262 0.6954 0.7308
Ga4 0.5738 0.3046 0.2692
Ga5 0.6697 0.5000 0.1697
Ga6 0.9646 0.6954 0.2692

***

DyAl2S4 after structural relaxation. Source: the Alexandria database, functional PBE.

Properties
energy above the lowest structure with this stoichiometry	0.0000	eV per atom
ΔE_f (raw)	-1227	meV/atom
calculated volume	319.6	Å³/cell
space-group type	Fdd2 (43)
magnetic moment	0.00	μB/f.u.

Cell: 7.8271 7.2074 9.1461 Å, 55.68 49.51 74.81°
Sites, in units of the cell vectors:
Dy1 0.0000 0.0000 0.0000
Dy2 0.2500 0.2500 0.2500
Al1 0.2563 0.7111 0.4170
Al2 0.6343 0.8330 0.5389
Al3 0.7111 0.2563 0.6157
Al4 0.8330 0.6343 0.9937
S1 0.0176 0.4592 0.7991
S2 0.0286 0.9300 0.3162
S3 0.4509 0.5258 0.2324
S4 0.4592 0.0176 0.7242
S5 0.5248 0.9338 0.3200
S6 0.5258 0.4509 0.7908
S7 0.9300 0.0286 0.7252
S8 0.9338 0.5248 0.2214

***

ZrMnZnFe after structural relaxation. Source: the Alexandria database, functional PBE.

Properties
calculated volume	231.6	Å³/cell
E_tot	-110.051	eV/cell
space-group type	F-43m (216)
magnetic moment	2.99	μB/f.u.

Cell: 6.1408 6.1408 6.1408 Å, 90.00 90.00 90.00°
Sites, in units of the cell vectors:
Zr1 0.0000 0.0000 0.0000
Zr2 0.0000 0.5000 0.5000
Zr3 0.5000 0.0000 0.5000
Zr4 0.5000 0.5000 0.0000
Mn1 0.2500 0.2500 0.7500
Mn2 0.2500 0.7500 0.2500
Mn3 0.7500 0.2500 0.2500
Mn4 0.7500 0.7500 0.7500
Zn1 0.0000 0.0000 0.5000
Zn2 0.0000 0.5000 0.0000
Zn3 0.5000 0.0000 0.0000
Zn4 0.5000 0.5000 0.5000
Fe1 0.2500 0.2500 0.2500
Fe2 0.2500 0.7500 0.7500
Fe3 0.7500 0.2500 0.7500
Fe4 0.7500 0.7500 0.2500

***

Ba2ZnHgPt after structural relaxation. Source: the Alexandria database, functional PBE.

Properties
energy above the lowest structure with this stoichiometry	0.0344	eV per atom
calculated volume	184.7	Å³/cell
space-group type	P4/mmm (123)
magnetic moment	0.00	μB/f.u.

Cell: 6.1196 6.1196 4.9307 Å, 90.00 90.00 90.00°
Sites, in units of the cell vectors:
Ba1 0.0000 0.5000 0.0000
Ba2 0.5000 0.0000 0.0000
Zn1 0.0000 0.0000 0.5000
Hg1 0.5000 0.5000 0.5000
Pt1 0.0000 0.0000 0.0000

***

AgHgSbAu after structural relaxation. Source: the Alexandria database, functional PBE.

Properties
ΔE_f (raw)	158	meV/atom
calculated volume	346.1	Å³/cell
space-group type	F-43m (216)
magnetic moment	0.00	μB/f.u.

Cell: 7.0212 7.0212 7.0212 Å, 90.00 90.00 90.00°
Sites, in units of the cell vectors:
Ag1 0.0000 0.0000 0.0000
Ag2 0.0000 0.5000 0.5000
Ag3 0.5000 0.0000 0.5000
Ag4 0.5000 0.5000 0.0000
Hg1 0.2500 0.2500 0.7500
Hg2 0.2500 0.7500 0.2500
Hg3 0.7500 0.2500 0.2500
Hg4 0.7500 0.7500 0.7500
Sb1 0.2500 0.2500 0.2500
Sb2 0.2500 0.7500 0.7500
Sb3 0.7500 0.2500 0.7500
Sb4 0.7500 0.7500 0.2500
Au1 0.0000 0.0000 0.5000
Au2 0.0000 0.5000 0.0000
Au3 0.5000 0.0000 0.0000
Au4 0.5000 0.5000 0.5000

***

Al2CdCo after structural relaxation. Source: the Alexandria database, functional PBE.

Properties
calculated volume	61.4	Å³/cell
E_tot	-15.137	eV/cell
space-group type	P2/m (10)
magnetic moment	0.00	μB/f.u.

Cell: 4.6371 2.9352 4.8205 Å, 90.00 110.62 90.00°
Sites, in units of the cell vectors:
Al1 0.0000 0.0000 0.0000
Al2 0.0000 0.5000 0.5000
Cd1 0.5000 0.0000 0.5000
Co1 0.5000 0.5000 0.0000

***

YTaAu2 after structural relaxation. Source: the Alexandria database, functional PBE.

Properties
energy above the lowest structure with this stoichiometry	0.2416	eV per atom
calculated volume	271.7	Å³/cell
space-group type	R-3m (166)
magnetic moment	0.00	μB/f.u.

Cell: 3.6544 3.6544 23.4901 Å, 90.00 90.00 120.00°
Sites, in units of the cell vectors:
Y1 0.0000 0.0000 0.0000
Y2 0.3333 0.6667 0.6667
Y3 0.6667 0.3333 0.3333
Ta1 0.0000 0.0000 0.5000
Ta2 0.3333 0.6667 0.1667
Ta3 0.6667 0.3333 0.8333
Au1 0.0000 0.0000 0.2410
Au2 0.0000 0.0000 0.7590
Au3 0.3333 0.6667 0.4257
Au4 0.3333 0.6667 0.9077
Au5 0.6667 0.3333 0.0923
Au6 0.6667 0.3333 0.5743

***

BaIn2CuSe4 after structural relaxation. Source: the Alexandria database, functional PBE.

Properties
ΔE_f (raw)	-781	meV/atom
calculated volume	421.6	Å³/cell
space-group type	Cmcm (63)
magnetic moment	0.00	μB/f.u.

Cell: 7.1874 7.1874 14.5588 Å, 90.00 90.00 145.91°
Sites, in units of the cell vectors:
Ba1 0.1152 0.8848 0.7500
Ba2 0.8848 0.1152 0.2500
In1 0.3693 0.6307 0.5568
In2 0.3693 0.6307 0.9432
In3 0.6307 0.3693 0.0568
In4 0.6307 0.3693 0.4432
Cu1 0.1566 0.8434 0.2500
Cu2 0.8434 0.1566 0.7500
Se1 0.0000 0.0000 0.0000
Se2 0.0000 0.0000 0.5000
Se3 0.2656 0.7344 0.1122
Se4 0.2656 0.7344 0.3878
Se5 0.4314 0.5686 0.7500
Se6 0.5686 0.4314 0.2500
Se7 0.7344 0.2656 0.6122
Se8 0.7344 0.2656 0.8878

***

CaZr3Ag after structural relaxation. Source: the Alexandria database, functional PBE.

Properties
energy above the lowest structure with this stoichiometry	0.8571	eV per atom
calculated volume	130.5	Å³/cell
space-group type	Pm-3m (221)
magnetic moment	0.00	μB/f.u.

Cell: 5.0725 5.0725 5.0725 Å, 90.00 90.00 90.00°
Sites, in units of the cell vectors:
Ca1 0.0000 0.0000 0.0000
Zr1 0.0000 0.0000 0.5000
Zr2 0.0000 0.5000 0.0000
Zr3 0.5000 0.0000 0.0000
Ag1 0.5000 0.5000 0.5000

***

HfAlPd2 after structural relaxation. Source: the Alexandria database, functional PBE.

Properties
calculated volume	64.7	Å³/cell
E_tot	-27.114	eV/cell
space-group type	P4/mmm (123)
magnetic moment	0.00	μB/f.u.

Cell: 3.0007 3.0007 7.1846 Å, 90.00 90.00 90.00°
Sites, in units of the cell vectors:
Hf1 0.0000 0.0000 0.0000
Al1 0.0000 0.0000 0.5000
Pd1 0.5000 0.5000 0.2828
Pd2 0.5000 0.5000 0.7172

***

Ac3Co2Si4 after structural relaxation. Source: the Alexandria database, functional PBE.

Properties
ΔE_f (raw)	-538	meV/atom
calculated volume	196.7	Å³/cell
space-group type	C2/m (12)
magnetic moment	0.00	μB/f.u.

Cell: 6.3176 6.3176 8.2906 Å, 105.97 105.97 38.41°
Sites, in units of the cell vectors:
Ac1 0.0000 0.0000 0.0000
Ac2 0.3960 0.3960 0.3140
Ac3 0.6040 0.6040 0.6860
Co1 0.2943 0.2943 0.6336
Co2 0.7057 0.7057 0.3664
Si1 0.1321 0.1321 0.3974
Si2 0.2782 0.2782 0.9194
Si3 0.7218 0.7218 0.0806
Si4 0.8679 0.8679 0.6026

***

YMg4Ag5 after structural relaxation. Source: the Alexandria database, functional PBE.

Properties
calculated volume	196.9	Å³/cell
E_tot	-29.592	eV/cell
space-group type	P4/mmm (123)
magnetic moment	0.00	μB/f.u.

Cell: 3.4210 3.4210 16.8269 Å, 90.00 90.00 90.00°
Sites, in units of the cell vectors:
Y1 0.0000 0.0000 0.0000
Mg1 0.0000 0.0000 0.2123
Mg2 0.0000 0.0000 0.4047
Mg3 0.0000 0.0000 0.5953
Mg4 0.0000 0.0000 0.7877
Ag1 0.5000 0.5000 0.1192
Ag2 0.5000 0.5000 0.3094
Ag3 0.5000 0.5000 0.5000
Ag4 0.5000 0.5000 0.6906
Ag5 0.5000 0.5000 0.8808

***

K2YCu after structural relaxation. Source: the Alexandria database, functional PBE.

Properties
energy above the lowest structure with this stoichiometry	0.4310	eV per atom
calculated volume	271.5	Å³/cell
space-group type	C2/m (12)
magnetic moment	0.00	μB/f.u.

Cell: 6.4758 13.2894 3.7217 Å, 90.00 122.06 90.00°
Sites, in units of the cell vectors:
K1 0.2500 0.2500 0.0000
K2 0.2500 0.7500 0.0000
K3 0.7500 0.2500 0.0000
K4 0.7500 0.7500 0.0000
Y1 0.0000 0.0000 0.5000
Y2 0.5000 0.5000 0.5000
Cu1 0.0000 0.5000 0.5000
Cu2 0.5000 0.0000 0.5000

***

Ho3TlCd2 after structural relaxation. Source: the Alexandria database, functional PBE.

Properties
energy above the lowest structure with this stoichiometry	0.0000	eV per atom
calculated volume	315.1	Å³/cell
space-group type	Cmmm (65)
magnetic moment	0.00	μB/f.u.

Cell: 5.2932 15.9840 3.7239 Å, 90.00 90.00 90.00°
Sites, in units of the cell vectors:
Ho1 0.0000 0.0000 0.0000
Ho2 0.0000 0.3324 0.0000
Ho3 0.0000 0.6676 0.0000
Ho4 0.5000 0.1676 0.0000
Ho5 0.5000 0.5000 0.0000
Ho6 0.5000 0.8324 0.0000
Tl1 0.0000 0.5000 0.5000
Tl2 0.5000 0.0000 0.5000
Cd1 0.0000 0.1716 0.5000
Cd2 0.0000 0.8284 0.5000
Cd3 0.5000 0.3284 0.5000
Cd4 0.5000 0.6716 0.5000

***

Hf4ZrH10 after structural relaxation. Source: the Alexandria database, functional PBE.

Properties
calculated volume	131.4	Å³/cell
E_tot	-89.677	eV/cell
space-group type	I4/m (87)
magnetic moment	0.00	μB/f.u.

Cell: 5.6829 5.6829 5.6829 Å, 101.56 101.56 126.81°
Sites, in units of the cell vectors:
Hf1 0.0996 0.6996 0.7992
Hf2 0.3004 0.0996 0.4000
Hf3 0.6996 0.9004 0.6000
Hf4 0.9004 0.3004 0.2008
Zr1 0.5000 0.5000 0.0000
H1 0.0438 0.3476 0.8988
H2 0.1450 0.0438 0.6962
H3 0.2500 0.7500 0.5000
H4 0.3476 0.4488 0.3038
H5 0.4488 0.1450 0.1012
H6 0.5512 0.8550 0.8988
H7 0.6524 0.5512 0.6962
H8 0.7500 0.2500 0.5000
H9 0.8550 0.9562 0.3038
H10 0.9562 0.6524 0.1012

***

MnBeRh2 after structural relaxation. Source: the Alexandria database, functional PBE.

Properties
calculated volume	212.0	Å³/cell
E_tot	-109.716	eV/cell
space-group type	F-43m (216)
magnetic moment	4.96	μB/f.u.

Cell: 5.9626 5.9626 5.9626 Å, 90.00 90.00 90.00°
Sites, in units of the cell vectors:
Mn1 0.0000 0.0000 0.0000
Mn2 0.0000 0.5000 0.5000
Mn3 0.5000 0.0000 0.5000
Mn4 0.5000 0.5000 0.0000
Be1 0.2500 0.2500 0.7500
Be2 0.2500 0.7500 0.2500
Be3 0.7500 0.2500 0.2500
Be4 0.7500 0.7500 0.7500
Rh1 0.0000 0.0000 0.5000
Rh2 0.0000 0.5000 0.0000
Rh3 0.2500 0.2500 0.2500
Rh4 0.2500 0.7500 0.7500
Rh5 0.5000 0.0000 0.0000
Rh6 0.5000 0.5000 0.5000
Rh7 0.7500 0.2500 0.7500
Rh8 0.7500 0.7500 0.2500

***

KP3N after structural relaxation. Source: the Alexandria database, functional PBE.

Properties
energy above the lowest structure with this stoichiometry	0.0000	eV per atom
ΔE_f (raw)	986	meV/atom
calculated volume	83.2	Å³/cell
space-group type	Pm-3m (221)
magnetic moment	0.00	μB/f.u.

Cell: 4.3651 4.3651 4.3651 Å, 90.00 90.00 90.00°
Sites, in units of the cell vectors:
K1 0.0000 0.0000 0.0000
P1 0.0000 0.5000 0.5000
P2 0.5000 0.0000 0.5000
P3 0.5000 0.5000 0.0000
N1 0.5000 0.5000 0.5000

***

SrAgI after structural relaxation. Source: the Alexandria database, functional PBE.

Properties
energy above the lowest structure with this stoichiometry	0.0000	eV per atom
ΔE_f (raw)	-937	meV/atom
calculated volume	234.6	Å³/cell
space-group type	P-1 (2)
magnetic moment	0.00	μB/f.u.

Cell: 4.8538 4.8544 11.4959 Å, 89.84 89.47 60.01°
Sites, in units of the cell vectors:
Sr1 0.0048 0.4990 0.3226
Sr2 0.9952 0.5010 0.6774
Ag1 0.3333 0.8333 0.5013
Ag2 0.6667 0.1667 0.4987
I1 0.3421 0.8314 0.1674
I2 0.6579 0.1686 0.8326

***

MgSb2Ru after structural relaxation. Source: the Alexandria database, functional PBE.

Properties
ΔE_f (raw)	219	meV/atom
calculated volume	485.8	Å³/cell
space-group type	I-42d (122)
magnetic moment	0.00	μB/f.u.

Cell: 6.2228 6.2228 12.5446 Å, 90.00 90.00 90.00°
Sites, in units of the cell vectors:
Mg1 0.0000 0.0000 0.0000
Mg2 0.0000 0.5000 0.2500
Mg3 0.5000 0.0000 0.7500
Mg4 0.5000 0.5000 0.5000
Sb1 0.2010 0.2500 0.6250
Sb2 0.2500 0.7010 0.8750
Sb3 0.2500 0.7990 0.3750
Sb4 0.2990 0.2500 0.1250
Sb5 0.7010 0.7500 0.1250
Sb6 0.7500 0.2010 0.3750
Sb7 0.7500 0.2990 0.8750
Sb8 0.7990 0.7500 0.6250
Ru1 0.0000 0.0000 0.5000
Ru2 0.0000 0.5000 0.7500
Ru3 0.5000 0.0000 0.2500
Ru4 0.5000 0.5000 0.0000